DFT (PBE-GGA) results for crystalline NaMgTaSi2 at its relaxed geometry.

Calculated values
Size of the total moment (μB/cell): 0.00
Energy relative to the elements, uncorrected (eV per formula unit): 7.84

Structure (CIF):
```
data_NaMgTaSi2
_cell_length_a 4.7491
_cell_length_b 4.7491
_cell_length_c 4.3362
_cell_angle_alpha 90.00
_cell_angle_beta 90.00
_cell_angle_gamma 90.00
_space_group_name_H-M_alt 'P 4/m m m'
_space_group_IT_number 123
_space_group_name_Hall '-P 4 2'
loop_
_atom_site_label
_atom_site_fract_x
_atom_site_fract_y
_atom_site_fract_z
Na1 0.0000 0.0000 0.0000
Mg1 0.0000 0.0000 0.5000
Ta1 0.5000 0.5000 0.5000
Si1 0.0000 0.5000 0.0000
```

---

DFT (PBE-GGA) results for crystalline NaMgSi2Te at its relaxed geometry.

Calculated values
Size of the total moment (μB/cell): 0.00
Energy relative to the elements, uncorrected (eV per formula unit): 3.98

Structure (CIF):
```
data_NaMgSi2Te
_cell_length_a 5.3387
_cell_length_b 5.3387
_cell_length_c 5.4313
_cell_angle_alpha 90.00
_cell_angle_beta 90.00
_cell_angle_gamma 90.00
_space_group_name_H-M_alt 'P 4/m m m'
_space_group_IT_number 123
_space_group_name_Hall '-P 4 2'
loop_
_atom_site_label
_atom_site_fract_x
_atom_site_fract_y
_atom_site_fract_z
Na1 0.0000 0.0000 0.0000
Mg1 0.5000 0.5000 0.0000
Si1 0.0000 0.5000 0.5000
Te1 0.0000 0.0000 0.5000
```

---

energy relative to the elements, uncorrected of number 2 (NaMgSi2Te)? 3.98 eV per formula unit